VASP calculation (PBE with a Hubbard U) on crystalline PmTl2WO6 at its relaxed geometry.

V ... 18.2 Å³/atom
VASP energy ... -6.4420 eV/atom

a = 6.181 Å, b = 6.181 Å, c = 11.586 Å
α = 74.53°, β = 74.53°, γ = 60.00°
Fractional positions:
Pm1 0.599 0.599 0.204
Pm2 0.401 0.401 0.796
Tl1 0.826 0.826 0.523
Tl2 0.174 0.174 0.477
Tl3 0.703 0.703 0.892
Tl4 0.297 0.297 0.108
W1 0.000 0.000 0.000
W2 0.500 0.500 0.500
O1 0.823 0.394 0.390
O2 0.394 0.823 0.390
O3 0.394 0.394 0.390
O4 0.177 0.606 0.610
O5 0.606 0.177 0.610
O6 0.606 0.606 0.610
O7 0.729 0.186 0.900
O8 0.186 0.729 0.900
O9 0.186 0.186 0.900
O10 0.271 0.814 0.100
O11 0.814 0.271 0.100
O12 0.814 0.814 0.100